No. 1
Material: CaCuPt2
Method: DFT, PBE
State: relaxed

Unit cell a=10.377 b=3.219 c=4.612 alpha=90.00 beta=116.08 gamma=90.00
Atoms (fractional coordinates):
Ca: 0.000 0.000 0.000
Ca: 0.500 0.500 0.000
Cu: 0.231 0.000 0.642
Cu: 0.731 0.500 0.642
Pt: 0.008 0.500 0.523
Pt: 0.265 0.500 0.167
Pt: 0.508 0.000 0.523
Pt: 0.765 0.000 0.167

## Properties
ρ (g cm⁻³): 11.85
Fermi-level density of states (states/eV/atom): 0.577
Formation enthalpy at 0 K (meV/atom): -352

---

No. 2
Material: Ca3CuPt8
Method: DFT, PBE
State: relaxed

Unit cell a=9.335 b=9.335 c=9.335 alpha=33.75 beta=33.75 gamma=33.75
Atoms (fractional coordinates):
Ca: 0.000 0.000 0.000
Ca: 0.129 0.129 0.129
Ca: 0.514 0.514 0.514
Cu: 0.645 0.645 0.645
Pt: 0.066 0.566 0.566
Pt: 0.067 0.067 0.568
Pt: 0.067 0.568 0.067
Pt: 0.316 0.316 0.316
Pt: 0.566 0.066 0.566
Pt: 0.566 0.566 0.066
Pt: 0.568 0.067 0.067
Pt: 0.817 0.817 0.817

## Properties
ρ (g cm⁻³): 12.95
Fermi-level density of states (states/eV/atom): 0.724
Formation enthalpy at 0 K (meV/atom): -709

---

No. 3
Material: CaCu2Pt2
Method: DFT, PBE
State: relaxed

Unit cell a=3.925 b=3.925 c=11.715 alpha=90.00 beta=90.00 gamma=90.00
Atoms (fractional coordinates):
Ca: 0.000 0.000 0.000
Ca: 0.500 0.500 0.500
Cu: 0.000 0.500 0.250
Cu: 0.000 0.500 0.750
Cu: 0.500 0.000 0.250
Cu: 0.500 0.000 0.750
Pt: 0.000 0.000 0.390
Pt: 0.000 0.000 0.610
Pt: 0.500 0.500 0.110
Pt: 0.500 0.500 0.890

## Properties
ρ (g cm⁻³): 10.26
Fermi-level density of states (states/eV/atom): 0.340
Formation enthalpy at 0 K (meV/atom): -376

---

No. 4
Material: CaCu2Pt
Method: DFT, PBE
State: relaxed

Unit cell a=2.977 b=4.522 c=5.208 alpha=90.00 beta=100.82 gamma=90.00
Atoms (fractional coordinates):
Ca: 0.000 0.000 0.000
Cu: 0.329 0.500 0.710
Cu: 0.671 0.500 0.290
Pt: 0.500 0.000 0.500

## Properties
ρ (g cm⁻³): 8.73
Fermi-level density of states (states/eV/atom): 0.311
Formation enthalpy at 0 K (meV/atom): -156

---

No. 5
Material: CaCuPt2
Method: DFT, PBE
State: relaxed

Unit cell a=3.390 b=3.390 c=6.290 alpha=90.00 beta=90.00 gamma=90.00
Atoms (fractional coordinates):
Ca: 0.000 0.000 0.000
Cu: 0.500 0.500 0.315
Pt: 0.000 0.000 0.475
Pt: 0.500 0.500 0.727

## Properties
ρ (g cm⁻³): 11.35
Fermi-level density of states (states/eV/atom): 0.738
Formation enthalpy at 0 K (meV/atom): -251

---

No. 6
Material: CaCuPt2
Method: DFT, PBE
State: relaxed

Unit cell a=4.713 b=4.713 c=17.069 alpha=90.00 beta=90.00 gamma=90.00
Atoms (fractional coordinates):
Ca: 0.000 0.000 0.000
Ca: 0.000 0.500 0.250
Ca: 0.500 0.000 0.750
Ca: 0.500 0.500 0.500
Cu: 0.000 0.000 0.500
Cu: 0.000 0.500 0.750
Cu: 0.500 0.000 0.250
Cu: 0.500 0.500 0.000
Pt: 0.084 0.250 0.625
Pt: 0.250 0.584 0.875
Pt: 0.250 0.916 0.375
Pt: 0.416 0.250 0.125
Pt: 0.584 0.750 0.125
Pt: 0.750 0.084 0.375
Pt: 0.750 0.416 0.875
Pt: 0.916 0.750 0.625

## Properties
ρ (g cm⁻³): 8.65
Fermi-level density of states (states/eV/atom): 0.898
Formation enthalpy at 0 K (meV/atom): -208